Material: Na2HoTeO4
Method: DFT, PBE
State: relaxed

Computed properties:
- E (eV per atom) = -5.5625
- uncorrected formation energy (eV per atom) = -1.789

Cell: 6.169 6.169 6.666 Å, 90.00 90.00 90.00°
Space group I-4 (No. 82)
One atom of each set of equivalent atoms:
Na  0.000  0.000  0.000
Na  0.000  0.500  0.250
Ho  0.000  0.000  0.500
Te  0.000  0.500  0.750
O  0.175  0.201  0.713